DFT (PBE) results for a relaxed structure of K2NaIn4Sn3.

Summary:
For the density of states at the Fermi level, the calculation gives 0.297 states/eV/atom. For the formation energy from the elements, the calculation gives -0.138 eV/atom.

a b c (Å): 5.0805 5.0805 12.6357
angles (deg): 90.00 90.00 90.00
Last column: nearest neighbours and their distance in Å.
Positions (direct):
K1 0.5000 0.0000 0.2402  6 Sn 3.85-4.15, 8 In 3.90-3.96, 2 Na 4.15
K2 0.0000 0.5000 0.7598  6 Sn 3.85-4.15, 8 In 3.90-3.96, 2 Na 4.15
Na1 0.5000 0.5000 0.5000  4 In 3.09
In1 0.5000 0.5000 0.0000  4 Sn 3.03
In2 0.0000 0.0000 0.0000  4 Sn 3.03
In3 0.5000 0.0000 0.6387  3 Sn 2.91-3.09, 2 Na 3.09
In4 0.0000 0.5000 0.3613  3 Sn 2.91-3.09, 2 Na 3.09
Sn1 0.0000 0.0000 0.5000  4 In 3.09
Sn2 0.5000 0.0000 0.8694  5 In 2.91-3.03
Sn3 0.0000 0.5000 0.1306  5 In 2.91-3.03